A crystal of InReSb2 relaxed with PBEsol. Source: the Alexandria database, functional SCAN.

Output
formation energy without anion corrections	956	meV per atom

a b c (Å): 4.8989 4.8989 3.4454
angles (deg): 90.00 90.00 90.00
Closest atoms and distances in Å follow each position.
Space group P4/mmm (No. 123)
One atom of each set of equivalent atoms:
In1 0.0000 0.0000 0.0000 [1 per cell]  8 Sb 2.99
Re1 0.5000 0.5000 0.0000 [1 per cell]  8 Sb 2.99
Sb1 0.0000 0.5000 0.5000 [2 per cell]  4 Re 2.99, 4 In 2.99